Entry 1:
# CsNdTe3Au (PBE, relaxed)
# - Calculated total energy: -3.998 eV/atom
data_CsNdTe3Au
_chemical_formula_sum 'Cs4 Nd4 Te12 Au4'
_symmetry_space_group_name_H-M 'C m c m'
_symmetry_Int_Tables_number 63
_symmetry_space_group_name_Hall '-C 2c 2'
_cell_length_a 4.370
_cell_length_b 17.622
_cell_length_c 11.585
_cell_angle_alpha 90.00
_cell_angle_beta 90.00
_cell_angle_gamma 90.00
loop_
_atom_site_label
_atom_site_fract_x
_atom_site_fract_y
_atom_site_fract_z
Cs1 0.000 0.249 0.250
Nd1 0.000 0.500 0.000
Te1 0.000 0.125 0.556
Te2 0.000 0.431 0.750
Au1 0.000 0.033 0.750

---

Entry 2:
# CsNiAuS3 (PBE, relaxed)
# - Calculated total energy: -3.909 eV/atom
data_CsNiAuS3
_chemical_formula_sum 'Cs4 Ni4 Au4 S12'
_symmetry_space_group_name_H-M 'C m c m'
_symmetry_Int_Tables_number 63
_symmetry_space_group_name_Hall '-C 2c 2'
_cell_length_a 3.555
_cell_length_b 16.313
_cell_length_c 10.112
_cell_angle_alpha 90.00
_cell_angle_beta 90.00
_cell_angle_gamma 90.00
loop_
_atom_site_label
_atom_site_fract_x
_atom_site_fract_y
_atom_site_fract_z
Cs1 0.000 0.220 0.250
Ni1 0.000 0.500 0.000
Au1 0.000 0.088 0.750
S1 0.000 0.090 0.519
S2 0.000 0.464 0.750

---

Entry 3:
# CsNiTeAuS2 (PBE, relaxed)
# - Calculated total energy: -3.801 eV/atom
data_CsNiTeAuS2
_chemical_formula_sum 'Cs4 Ni4 Te4 Au4 S8'
_symmetry_space_group_name_H-M 'C m c m'
_symmetry_Int_Tables_number 63
_symmetry_space_group_name_Hall '-C 2c 2'
_cell_length_a 3.501
_cell_length_b 17.806
_cell_length_c 10.381
_cell_angle_alpha 90.00
_cell_angle_beta 90.00
_cell_angle_gamma 90.00
loop_
_atom_site_label
_atom_site_fract_x
_atom_site_fract_y
_atom_site_fract_z
Cs1 0.000 0.238 0.250
Ni1 0.000 0.500 0.000
Te1 0.000 0.446 0.750
Au1 0.000 0.093 0.750
S1 0.000 0.085 0.524

---

Entry 4:
# CsNiTe2AuSe (PBE, relaxed)
# - Calculated total energy: -3.480 eV/atom
data_CsNiTe2AuSe
_chemical_formula_sum 'Cs4 Ni4 Te8 Au4 Se4'
_symmetry_space_group_name_H-M 'C m c m'
_symmetry_Int_Tables_number 63
_symmetry_space_group_name_Hall '-C 2c 2'
_cell_length_a 3.944
_cell_length_b 16.776
_cell_length_c 11.075
_cell_angle_alpha 90.00
_cell_angle_beta 90.00
_cell_angle_gamma 90.00
loop_
_atom_site_label
_atom_site_fract_x
_atom_site_fract_y
_atom_site_fract_z
Cs1 0.000 0.244 0.250
Ni1 0.000 0.500 0.000
Te1 0.000 0.099 0.514
Au1 0.000 0.070 0.750
Se1 0.000 0.458 0.750

---

Entry 5:
# CsNiTeAu (PBE, relaxed)
# - Energy above the most stable polymorph in this dataset: 0.000 eV per atom
data_CsNiTeAu
_chemical_formula_sum 'Cs4 Ni4 Te4 Au4'
_symmetry_space_group_name_H-M 'F -4 3 m'
_symmetry_Int_Tables_number 216
_symmetry_space_group_name_Hall 'F -4 2 3'
_cell_length_a 7.475
_cell_length_b 7.475
_cell_length_c 7.475
_cell_angle_alpha 90.00
_cell_angle_beta 90.00
_cell_angle_gamma 90.00
loop_
_atom_site_label
_atom_site_fract_x
_atom_site_fract_y
_atom_site_fract_z
Cs1 0.000 0.000 0.000
Ni1 0.250 0.250 0.250
Te1 0.000 0.000 0.500
Au1 0.250 0.250 0.750

---

Entry 6:
# CsNiTeAu (PBE, relaxed)
# - Energy above the most stable polymorph in this dataset: 0.097 eV per atom
data_CsNiTeAu
_chemical_formula_sum 'Cs4 Ni4 Te4 Au4'
_symmetry_space_group_name_H-M 'F -4 3 m'
_symmetry_Int_Tables_number 216
_symmetry_space_group_name_Hall 'F -4 2 3'
_cell_length_a 7.605
_cell_length_b 7.605
_cell_length_c 7.605
_cell_angle_alpha 90.00
_cell_angle_beta 90.00
_cell_angle_gamma 90.00
loop_
_atom_site_label
_atom_site_fract_x
_atom_site_fract_y
_atom_site_fract_z
Cs1 0.000 0.000 0.000
Ni1 0.000 0.000 0.500
Te1 0.250 0.250 0.750
Au1 0.250 0.250 0.250

---

Entry 7:
# CsNiTe3Au (PBE, relaxed)
# - Calculated total energy: -3.451 eV/atom
data_CsNiTe3Au
_chemical_formula_sum 'Cs4 Ni4 Te12 Au4'
_symmetry_space_group_name_H-M 'C m c m'
_symmetry_Int_Tables_number 63
_symmetry_space_group_name_Hall '-C 2c 2'
_cell_length_a 3.902
_cell_length_b 17.461
_cell_length_c 11.184
_cell_angle_alpha 90.00
_cell_angle_beta 90.00
_cell_angle_gamma 90.00
loop_
_atom_site_label
_atom_site_fract_x
_atom_site_fract_y
_atom_site_fract_z
Cs1 0.000 0.248 0.250
Ni1 0.000 0.500 0.000
Te1 0.000 0.098 0.514
Te2 0.000 0.453 0.750
Au1 0.000 0.077 0.750

---

Entry 8:
# CsAuO3 (PBE, relaxed)
# - Calculated total energy: -4.197 eV/atom
data_CsAuO3
_chemical_formula_sum 'Cs4 Au4 O12'
_symmetry_space_group_name_H-M 'C 1 2/c 1'
_symmetry_Int_Tables_number 15
_symmetry_space_group_name_Hall '-C 2yc'
_cell_length_a 5.468
_cell_length_b 12.586
_cell_length_c 6.409
_cell_angle_alpha 90.00
_cell_angle_beta 104.80
_cell_angle_gamma 90.00
loop_
_atom_site_label
_atom_site_fract_x
_atom_site_fract_y
_atom_site_fract_z
Cs1 0.000 0.137 0.250
Au1 0.000 0.412 0.250
O1 0.000 0.161 0.750
O2 0.201 0.092 0.877

---

Entry 9:
# CsAuO3 (PBE, relaxed)
# - Calculated total energy: -4.124 eV/atom
data_CsAuO3
_chemical_formula_sum 'Cs6 Au6 O18'
_symmetry_space_group_name_H-M 'R -3'
_symmetry_Int_Tables_number 148
_symmetry_space_group_name_Hall '-R 3'
_cell_length_a 5.5554
_cell_length_b 5.5554
_cell_length_c 20.5408
_cell_angle_alpha 90.00
_cell_angle_beta 90.00
_cell_angle_gamma 120.00
loop_
_atom_site_label
_atom_site_fract_x
_atom_site_fract_y
_atom_site_fract_z
Cs1 0.0000 0.0000 0.1353
Au1 0.0000 0.0000 0.3339
O1 0.0015 0.3752 0.9473

---

Entry 10:
# CsAu3O2 (PBE, relaxed)
# - Calculated total energy: -3.841 eV/atom
data_CsAu3O2
_chemical_formula_sum 'Cs1 Au3 O2'
_symmetry_space_group_name_H-M 'P -3 m 1'
_symmetry_Int_Tables_number 164
_symmetry_space_group_name_Hall '-P 3 2"'
_cell_length_a 6.0902
_cell_length_b 6.0902
_cell_length_c 4.9592
_cell_angle_alpha 90.00
_cell_angle_beta 90.00
_cell_angle_gamma 120.00
loop_
_atom_site_label
_atom_site_fract_x
_atom_site_fract_y
_atom_site_fract_z
Cs1 0.0000 0.0000 0.0000
Au1 0.0000 0.5000 0.5000
O1 0.3333 0.6667 0.7160

---

Entry 11:
# CsAuO3 (PBE, relaxed)
# - Calculated total energy: -3.828 eV/atom
data_CsAuO3
_chemical_formula_sum 'Cs6 Au6 O18'
_symmetry_space_group_name_H-M 'R -3 c'
_symmetry_Int_Tables_number 167
_symmetry_space_group_name_Hall '-R 3 2"c'
_cell_length_a 5.9761
_cell_length_b 5.9761
_cell_length_c 14.5082
_cell_angle_alpha 90.00
_cell_angle_beta 90.00
_cell_angle_gamma 120.00
loop_
_atom_site_label
_atom_site_fract_x
_atom_site_fract_y
_atom_site_fract_z
Cs1 0.0000 0.0000 0.2500
Au1 0.0000 0.0000 0.0000
O1 0.0000 0.4722 0.2500

---

Entry 12:
# Cs3AuO2 (PBE, relaxed)
# - Calculated total energy: -3.622 eV/atom
data_Cs3AuO2
_chemical_formula_sum 'Cs36 Au12 O24'
_symmetry_space_group_name_H-M 'P 1 21/c 1'
_symmetry_Int_Tables_number 14
_symmetry_space_group_name_Hall '-P 2ybc'
_cell_length_a 10.249
_cell_length_b 19.908
_cell_length_c 14.071
_cell_angle_alpha 90.00
_cell_angle_beta 132.68
_cell_angle_gamma 90.00
loop_
_atom_site_label
_atom_site_fract_x
_atom_site_fract_y
_atom_site_fract_z
Cs1 0.047 0.090 0.076
Cs2 0.079 0.089 0.573
Cs3 0.152 0.249 0.778
Cs4 0.232 0.071 0.913
Cs5 0.241 0.595 0.297
Cs6 0.267 0.587 0.796
Cs7 0.344 0.744 0.002
Cs8 0.401 0.234 0.637
Cs9 0.434 0.563 0.134
Au1 0.103 0.748 0.115
Au2 0.238 0.078 0.407
Au3 0.444 0.579 0.638
O1 0.061 0.180 0.912
O2 0.066 0.005 0.364
O3 0.267 0.676 0.143
O4 0.283 0.508 0.615
O5 0.395 0.153 0.833
O6 0.414 0.151 0.453